The following is a GGA-PBE calculation of CdHg4I after structural relaxation, from the Alexandria database.

Computed properties:
Total energy (eV per atom): -0.5206
Formation energy without anion corrections (eV/f.u.): 0.55
DOS at the Fermi energy (states/eV/cell): 5.92

extended XYZ file:
```
6
Lattice="0.000 4.506 4.506 4.506 0.000 4.506 4.506 4.506 0.000" Properties=species:S:1:pos:R:3 pbc="T T T"
Cd 0.000 0.000 0.000
Hg 3.378 3.378 3.378
Hg 5.633 5.633 3.378
Hg 5.633 3.378 5.633
Hg 3.378 5.633 5.633
I 6.758 6.758 6.758
```